1.
# MnSb2F12, relaxed, DFT PBE with a Hubbard U
# total magnetization	5.00	μB per cell
# V	15.88	Å³ per atom
# uncorrected energy	-4.931	eV/atom
# N(E_F)	0.000	states/eV per atom
data_MnSb2F12
_chemical_formula_sum 'Mn1 Sb2 F12'
_space_group_name_H-M_alt 'P -1'
_space_group_IT_number 2
_cell_length_a 5.389
_cell_length_b 5.401
_cell_length_c 9.620
_cell_angle_alpha 78.69
_cell_angle_beta 82.52
_cell_angle_gamma 60.28
loop_
_space_group_symop_operation_xyz
'x,y,z'
'-x,-y,-z'
loop_
_atom_site_label
_atom_site_fract_x
_atom_site_fract_y
_atom_site_fract_z
Mn1 0.000 0.000 0.000
Sb1 0.317 0.254 0.259
F1 0.003 0.746 0.636
F2 0.067 0.598 0.127
F3 0.275 0.040 0.126
F4 0.352 0.503 0.357
F5 0.372 0.750 0.877
F6 0.405 0.095 0.644



2.
# MnSb2F12, relaxed, DFT PBE with a Hubbard U
# total magnetization	5.00	μB per cell
# V	15.57	Å³ per atom
# uncorrected energy	-4.932	eV/atom
# N(E_F)	0.000	states/eV per atom
data_MnSb2F12
_chemical_formula_sum 'Mn1 Sb2 F12'
_space_group_name_H-M_alt 'P -1'
_space_group_IT_number 2
_cell_length_a 5.330
_cell_length_b 5.647
_cell_length_c 9.197
_cell_angle_alpha 73.95
_cell_angle_beta 88.73
_cell_angle_gamma 62.22
loop_
_space_group_symop_operation_xyz
'x,y,z'
'-x,-y,-z'
loop_
_atom_site_label
_atom_site_fract_x
_atom_site_fract_y
_atom_site_fract_z
Mn1 0.000 0.000 0.000
Sb1 0.274 0.505 0.740
F1 0.017 0.274 0.425
F2 0.037 0.721 0.873
F3 0.098 0.263 0.815
F4 0.449 0.739 0.073
F5 0.450 0.735 0.708
F6 0.474 0.744 0.361



3.
# MnSbF2, relaxed, DFT PBE with a Hubbard U
# total magnetization	16.02	μB per cell
# V	16.22	Å³ per atom
# offset from the most stable computed form	0.9125	eV/atom
# N(E_F)	0.657	states/eV per atom
data_MnSbF2
_chemical_formula_sum 'Mn4 Sb4 F8'
_space_group_name_H-M_alt 'F m -3 m'
_space_group_IT_number 225
_space_group_name_Hall '-F 4 2 3'
_cell_length_a 6.378
_cell_length_b 6.378
_cell_length_c 6.378
_cell_angle_alpha 90.00
_cell_angle_beta 90.00
_cell_angle_gamma 90.00
loop_
_atom_site_label
_atom_site_fract_x
_atom_site_fract_y
_atom_site_fract_z
Mn1 0.000 0.000 0.000
Sb1 0.000 0.000 0.500
F1 0.250 0.250 0.250



4.
# MnSb4F12, relaxed, DFT PBE with a Hubbard U
# total magnetization	14.03	μB per cell
# V	19.63	Å³ per atom
# uncorrected energy	-4.751	eV/atom
# N(E_F)	0.249	states/eV per atom
data_MnSb4F12
_chemical_formula_sum 'Mn2 Sb8 F24'
_space_group_name_H-M_alt 'I m m m'
_space_group_IT_number 71
_space_group_name_Hall '-I 2 2'
_cell_length_a 8.496
_cell_length_b 8.831
_cell_length_c 8.898
_cell_angle_alpha 90.00
_cell_angle_beta 90.00
_cell_angle_gamma 90.00
loop_
_atom_site_label
_atom_site_fract_x
_atom_site_fract_y
_atom_site_fract_z
Mn1 0.000 0.000 0.000
Sb1 0.250 0.250 0.250
F1 0.000 0.313 0.282
F2 0.164 0.185 0.000
F3 0.174 0.000 0.237



5.
# MnSbF, relaxed, DFT PBE with a Hubbard U
# total magnetization	19.38	μB per cell
# V	22.94	Å³ per atom
# uncorrected energy	-5.518	eV/atom
# N(E_F)	0.253	states/eV per atom
data_MnSbF
_chemical_formula_sum 'Mn4 Sb4 F4'
_space_group_name_H-M_alt 'C 1 2/m 1'
_space_group_IT_number 12
_cell_length_a 14.158
_cell_length_b 3.263
_cell_length_c 6.069
_cell_angle_alpha 90.00
_cell_angle_beta 101.03
_cell_angle_gamma 90.00
loop_
_space_group_symop_operation_xyz
'x,y,z'
'-x,-y,-z'
'-x,y,-z'
'x,-y,z'
'x+1/2,y+1/2,z'
'-x+1/2,-y+1/2,-z'
'-x+1/2,y+1/2,-z'
'x+1/2,-y+1/2,z'
loop_
_atom_site_label
_atom_site_fract_x
_atom_site_fract_y
_atom_site_fract_z
Mn1 0.161 0.000 0.301
Sb1 0.173 0.000 0.819
F1 0.075 0.500 0.301



6.
# Mn3SbF, relaxed, DFT PBE with a Hubbard U
# total magnetization	15.23	μB per cell
# V	33.52	Å³ per atom
# offset from the most stable computed form	0.6612	eV/atom
# N(E_F)	0.645	states/eV per atom
data_Mn3SbF
_chemical_formula_sum 'Mn3 Sb1 F1'
_space_group_name_H-M_alt 'P m -3 m'
_space_group_IT_number 221
_space_group_name_Hall '-P 4 2 3'
_cell_length_a 5.514
_cell_length_b 5.514
_cell_length_c 5.514
_cell_angle_alpha 90.00
_cell_angle_beta 90.00
_cell_angle_gamma 90.00
loop_
_atom_site_label
_atom_site_fract_x
_atom_site_fract_y
_atom_site_fract_z
Mn1 0.000 0.000 0.500
Sb1 0.000 0.000 0.000
F1 0.500 0.500 0.500